[1]
Below is a geometry-optimized Ir2OsRh structure, with properties calculated at the PBE-GGA level.

Lattice parameters (Å, degrees): 2.7277 3.8685 5.4502 90.00 90.00 90.00
Fractional coordinates of all 4 atoms:
Ir (0.0000, 0.0000, 0.0000)
Ir (0.5000, 0.5000, 0.2555)
Os (0.0000, 0.0000, 0.4984)
Rh (0.5000, 0.5000, 0.7473)

Results
As for the space group: No. 25. The calculation puts the formation energy from the elements at 0.03 eV/atom. As for the distance to the lowest polymorph of the same formula: 36 meV per atom.

[2]
Below is a geometry-optimized IrOs2Rh structure, with properties calculated at the PBE-GGA level.

Lattice parameters (Å, degrees): 9.0161 9.0161 9.0161 17.47 17.47 17.47
Fractional coordinates of all 4 atoms:
Ir (0.0000, 0.0000, 0.0000)
Os (0.4977, 0.4977, 0.4977)
Os (0.7495, 0.7495, 0.7495)
Rh (0.2476, 0.2476, 0.2476)

Results
As for the space group: No. 160. The calculation puts the formation energy from the elements at 0.10 eV/atom. As for the distance to the lowest polymorph of the same formula: 53 meV per atom.